Computed, not measured: a relaxed SnPtRh crystal at the GGA-PBE level of DFT.

Results
Its space group is P3m1 (156). The formation energy from the elements is -0.231 eV per atom. The energy comes out at -18.1 eV/cell.

```
SnPtRh
1.0
4.388 0.000 0.000
-2.194 3.800 0.000
0.000 0.000 3.099
Sn Pt Rh
1 1 1
Direct
0.000 0.000 0.000 Sn
0.667 0.333 0.721 Pt
0.333 0.667 0.296 Rh
```